Record 1
{
  "formula": "AlRuI2O",
  "functional": "SCAN",
  "state": "single point on PBEsol structure",
  "lattice": [[-2.1795, 2.8857, -0.7164], [-2.2406, -0.4351, 5.0641], [3.8794, 3.4293, 2.0111]],
  "species": ["Ru", "Al", "I", "I", "O"],
  "fractional_positions": [[0.0000, 0.0000, 0.0000], [0.5000, 0.5000, 0.5000], [0.0000, 0.5000, 0.0000], [0.0000, 0.0000, 0.5000], [0.5000, 0.0000, 0.0000]],
  "crystal_system": "tetragonal",
  "space_group": "No. 123"
}



Record 2
{
  "formula": "AlSbI2O",
  "functional": "SCAN",
  "state": "single point on PBEsol structure",
  "lattice": [[3.9815, 0.0000, 0.0000], [0.0000, 6.0606, 0.0000], [0.0000, 0.0000, 6.0606]],
  "species": ["O", "Sb", "I", "I", "Al"],
  "fractional_positions": [[0.0000, 0.0000, 0.0000], [0.5000, 0.0000, 0.0000], [0.0000, 0.0000, 0.5000], [0.0000, 0.5000, 0.0000], [0.5000, 0.5000, 0.5000]],
  "crystal_system": "tetragonal",
  "e_above_lowest_polymorph_mev_per_atom": 0,
  "space_group": "No. 123"
}



Record 3
{
  "formula": "AlSbI2O",
  "functional": "SCAN",
  "state": "single point on PBEsol structure",
  "lattice": [[-2.7850, 3.2247, -3.3123], [-0.6339, -4.0968, -3.4555], [-4.4937, -1.3681, 2.4464]],
  "species": ["Sb", "Al", "I", "I", "O"],
  "fractional_positions": [[0.0000, 0.0000, 0.5000], [0.0000, 0.0000, 0.0000], [0.5000, 0.0000, 0.0000], [0.0000, 0.5000, 0.0000], [0.5000, 0.5000, 0.5000]],
  "crystal_system": "tetragonal",
  "e_above_lowest_polymorph_mev_per_atom": 354,
  "space_group": "No. 123"
}



Record 4
{
  "formula": "AlSeI2O",
  "functional": "SCAN",
  "state": "single point on PBEsol structure",
  "lattice": [[3.4021, 0.0000, 0.0000], [0.0000, 5.7227, 0.0000], [0.0000, 0.0000, 5.7227]],
  "species": ["Al", "O", "Se", "I", "I"],
  "fractional_positions": [[0.0000, 0.0000, 0.0000], [0.5000, 0.0000, 0.0000], [0.5000, 0.5000, 0.5000], [0.0000, 0.0000, 0.5000], [0.0000, 0.5000, 0.0000]],
  "crystal_system": "tetragonal",
  "space_group": "No. 123"
}



Record 5
{
  "formula": "AlSiIO2",
  "functional": "SCAN",
  "state": "single point on PBEsol structure",
  "lattice": [[-0.7693, 3.4244, 1.3437], [-1.1155, -1.5253, 3.2486], [4.9340, 0.3746, 1.8701]],
  "species": ["O", "O", "Si", "I", "Al"],
  "fractional_positions": [[0.0000, 0.5000, 0.0000], [0.5000, 0.0000, 0.0000], [0.0000, 0.0000, 0.0000], [0.0000, 0.0000, 0.5000], [0.5000, 0.5000, 0.5000]],
  "crystal_system": "tetragonal",
  "space_group": "No. 123"
}



Record 6
{
  "formula": "AlSnIO2",
  "functional": "SCAN",
  "state": "single point on PBEsol structure",
  "lattice": [[-2.2910, -1.9745, 2.6477], [-1.5773, -2.1771, -2.9883], [3.7776, -3.5697, 0.6067]],
  "species": ["I", "Al", "O", "O", "Sn"],
  "fractional_positions": [[0.0000, 0.0000, 0.5000], [0.0000, 0.0000, 0.0000], [0.5000, 0.0000, 0.0000], [0.0000, 0.5000, 0.0000], [0.5000, 0.5000, 0.5000]],
  "crystal_system": "tetragonal",
  "space_group": "No. 123"
}



Record 7
{
  "formula": "AlTlIO2",
  "functional": "SCAN",
  "state": "single point on PBEsol structure",
  "lattice": [[4.2266, 0.0000, 0.0000], [0.0000, 4.2266, 0.0000], [0.0000, 0.0000, 6.1922]],
  "species": ["O", "O", "Tl", "I", "Al"],
  "fractional_positions": [[0.5000, 0.0000, 0.0000], [0.0000, 0.5000, 0.0000], [0.0000, 0.0000, 0.0000], [0.0000, 0.0000, 0.5000], [0.5000, 0.5000, 0.5000]],
  "crystal_system": "tetragonal",
  "space_group": "No. 123"
}



Record 8
{
  "formula": "AlTe2OsI",
  "functional": "SCAN",
  "state": "single point on PBEsol structure",
  "lattice": [[-3.0815, -1.3557, -3.8769], [3.5562, -3.4819, -1.6090], [-2.2042, -3.6508, 3.0285]],
  "species": ["Te", "Te", "I", "Al", "Os"],
  "fractional_positions": [[0.0000, 0.5000, 0.0000], [0.0000, 0.0000, 0.5000], [0.5000, 0.0000, 0.0000], [0.0000, 0.0000, 0.0000], [0.5000, 0.5000, 0.5000]],
  "crystal_system": "tetragonal",
  "space_group": "No. 123"
}



We obtain ΔE_f (raw) values of -0.09, 0.26, 0.62, -0.56, -0.49, -0.73, 0.21, 1.43 eV per atom for the records listed above, in that order.